No. 1
Computed, not measured: Li2NbGeCl at its PBEsol-relaxed geometry at the meta-GGA SCAN level of DFT.

Cell: 5.6612 5.6612 4.7452 Å, 90.00 90.00 90.00°
Closest atoms and distances in Å follow each position.
Space group P4/mmm (No. 123)
One atom of each set of equivalent atoms:
Li1 0.0000 0.5000 0.0000 [2 per cell]  2 Nb 2.83
Nb1 0.0000 0.0000 0.0000 [1 per cell]  2 Ge 2.37
Ge1 0.0000 0.0000 0.5000 [1 per cell]  2 Nb 2.37
Cl1 0.5000 0.5000 0.5000 [1 per cell]  8 Li 3.69, 4 Ge 4.00

* uncorrected formation energy: 649 meV per atom
* mass density: 2.35 Mg/m³

=====

No. 2
Computed, not measured: LiGeS2Cl at its PBEsol-relaxed geometry at the meta-GGA SCAN level of DFT.

Cell: 4.6366 4.6366 5.1173 Å, 90.00 90.00 90.00°
Closest atoms and distances in Å follow each position.
Space group P4/mmm (No. 123)
One atom of each set of equivalent atoms:
Li1 0.0000 0.0000 0.0000 [1 per cell]  4 Cl 3.28, 8 S 3.45
Ge1 0.5000 0.5000 0.5000 [1 per cell]  4 S 2.32, 2 Cl 2.56
S1 0.0000 0.5000 0.5000 [2 per cell]  2 Ge 2.32
Cl1 0.5000 0.5000 0.0000 [1 per cell]  2 Ge 2.56

* uncorrected formation energy: -351 meV per atom
* mass density: 2.70 Mg/m³
* energy relative to the lowest polymorph listed for this composition: 0.0 meV/atom